[1]
Computed, not measured: crystalline Pr12TlHg6 at its relaxed geometry at the PBE level of DFT.

The structure in extended XYZ format:
```
19
Lattice="-6.195 -5.280 -4.479 7.548 1.453 -5.218 2.271 -3.737 8.197" Properties=species:S:1:pos:R:3 pbc="T T T"
Pr 1.095 -5.281 -2.760
Pr 4.368 -4.020 -1.213
Pr 1.735 -5.719 0.994
Pr 2.529 -2.283 1.260
Pr -0.743 -3.544 -0.287
Pr 1.890 -1.844 -2.494
Pr 1.219 -4.642 -6.226
Pr 4.654 -0.140 -3.871
Pr -3.504 -4.356 -2.326
Pr 2.405 -2.922 4.726
Pr -1.029 -7.424 2.371
Pr 7.129 -3.208 0.826
Tl 0.000 0.000 0.000
Hg 3.930 -3.595 -4.358
Hg -0.805 -2.870 -3.889
Hg 4.799 -0.858 -0.495
Hg -0.306 -3.969 2.858
Hg 4.430 -4.694 2.389
Hg -1.174 -6.706 -1.005
```

Summary:
- M_tot (μB per atom) = 0.00
- raw total energy (eV/cell) = -66.16

---

[2]
Computed, not measured: crystalline Pr4Tl3Hg2 at its relaxed geometry at the PBE level of DFT.

The structure in extended XYZ format:
```
9
Lattice="5.349 0.000 0.000 2.674 4.592 0.588 0.000 -1.376 10.730" Properties=species:S:1:pos:R:3 pbc="T T T"
Pr 5.348 1.841 9.913
Pr 2.674 4.135 4.145
Pr 5.348 -0.919 7.173
Pr 2.674 1.375 1.405
Tl 2.674 0.913 5.015
Tl 0.000 0.000 0.000
Tl 5.348 2.303 6.303
Hg 2.674 0.440 8.708
Hg 5.348 2.776 2.610
```

Summary:
- M_tot (μB per atom) = 0.00
- raw total energy (eV/cell) = -30.00